[1]
Here is crystalline Li5Tl2Pb4 at its relaxed geometry from the Alexandria database. Energies are from PBE.

a = 3.5407 Å, b = 7.9190 Å, c = 18.3902 Å
α = 90.00°, β = 90.00°, γ = 90.00°
Closest atoms and distances in Å follow each position.
Fractional positions:
Li1 0.0000 0.1099 0.5766  2 Tl 2.99, 6 Pb 3.06-3.11, 1 Li 3.31
Li2 0.0000 0.8901 0.4234  2 Tl 2.99, 6 Pb 3.06-3.11, 1 Li 3.31
Li3 0.0000 0.3901 0.0766  2 Tl 2.99, 6 Pb 3.06-3.11, 1 Li 3.31
Li4 0.0000 0.6099 0.9234  2 Tl 2.99, 6 Pb 3.06-3.11, 1 Li 3.31
Li5 0.0000 0.2090 0.8094  4 Tl 3.03-3.07, 4 Pb 3.17
Li6 0.0000 0.7910 0.1906  4 Tl 3.03-3.07, 4 Pb 3.17
Li7 0.0000 0.2910 0.3094  4 Tl 3.03-3.07, 4 Pb 3.17
Li8 0.0000 0.7090 0.6906  4 Tl 3.03-3.07, 4 Pb 3.17
Li9 0.0000 0.0000 0.0000  8 Pb 3.07-3.09, 2 Li 3.40
Li10 0.0000 0.5000 0.5000  8 Pb 3.07-3.09, 2 Li 3.40
Tl1 0.5000 0.0245 0.7022  6 Li 2.99-3.07, 3 Pb 3.19-3.31
Tl2 0.5000 0.9755 0.2978  6 Li 2.99-3.07, 3 Pb 3.19-3.31
Tl3 0.5000 0.4755 0.2022  6 Li 2.99-3.07, 3 Pb 3.19-3.31
Tl4 0.5000 0.5245 0.7978  6 Li 2.99-3.07, 3 Pb 3.19-3.31
Pb1 0.5000 0.2923 0.9476  8 Li 3.06-3.17, 1 Tl 3.31, 1 Pb 3.39
Pb2 0.5000 0.7077 0.0524  8 Li 3.06-3.17, 1 Tl 3.31, 1 Pb 3.39
Pb3 0.5000 0.2077 0.4476  8 Li 3.06-3.17, 1 Tl 3.31, 1 Pb 3.39
Pb4 0.5000 0.7923 0.5524  8 Li 3.06-3.17, 1 Tl 3.31, 1 Pb 3.39
Pb5 0.5000 0.4064 0.6317  6 Li 3.09-3.17, 2 Tl 3.19-3.29, 1 Pb 3.39
Pb6 0.5000 0.5936 0.3683  6 Li 3.09-3.17, 2 Tl 3.19-3.29, 1 Pb 3.39
Pb7 0.5000 0.0936 0.1317  6 Li 3.09-3.17, 2 Tl 3.19-3.29, 1 Pb 3.39
Pb8 0.5000 0.9064 0.8683  6 Li 3.09-3.17, 2 Tl 3.19-3.29, 1 Pb 3.39

Properties
- Calculated formation energy: -0.19 eV/atom
- Magnetic moment: 0.000 Bohr magnetons per cell
- Total energy: -62.47 eV for the cell shown
- Space-group type: Pbam, No. 55


[2]
Here is crystalline Si3GeRh at its relaxed geometry from the Alexandria database. Energies are from PBE.

a = 4.6294 Å, b = 4.6294 Å, c = 4.6294 Å
α = 90.00°, β = 90.00°, γ = 90.00°
Closest atoms and distances in Å follow each position.
Fractional positions:
Ge1 0.5000 0.5000 0.5000  12 Si 3.27
Rh1 0.0000 0.0000 0.0000  6 Si 2.31
Si1 0.0000 0.5000 0.0000  2 Rh 2.31
Si2 0.0000 0.0000 0.5000  2 Rh 2.31
Si3 0.5000 0.0000 0.0000  2 Rh 2.31

Properties
- Magnetic moment: 0.000 Bohr magnetons per cell
- Total energy: -25.89 eV for the cell shown
- Space-group type: Pm-3m, No. 221
- Uncorrected formation energy: 0.47 eV per atom
- Energy above the most stable polymorph in this dataset: 0.0 meV per atom


[3]
Here is crystalline Tl5In4Bi2 at its relaxed geometry from the Alexandria database. Energies are from PBE.

a = 4.7830 Å, b = 5.3183 Å, c = 14.4985 Å
α = 73.72°, β = 99.49°, γ = 90.00°
Closest atoms and distances in Å follow each position.
Fractional positions:
Tl1 0.1155 0.7089 0.2310  4 In 3.16-3.43, 2 Bi 3.45
Tl2 0.8845 0.2911 0.7690  4 In 3.16-3.43, 2 Bi 3.45
Tl3 0.2063 0.0564 0.4126  2 Bi 3.37, 4 Tl 3.39-3.70, 6 In 3.50-3.66
Tl4 0.5000 0.0000 0.0000  4 In 3.31
Tl5 0.7937 0.9436 0.5874  2 Bi 3.37, 4 Tl 3.39-3.70, 6 In 3.50-3.66
In1 0.7050 0.5782 0.4100  2 Bi 3.42-3.64, 8 Tl 3.43-3.66, 2 In 3.44
In2 0.9542 0.7114 0.9083  1 In 2.93, 1 Tl 3.16, 2 Bi 3.16
In3 0.2950 0.4218 0.5900  2 Bi 3.42-3.64, 8 Tl 3.43-3.66, 2 In 3.44
In4 0.0458 0.2886 0.0917  1 In 2.93, 1 Tl 3.16, 2 Bi 3.16
Bi1 0.6204 0.2347 0.2407  3 In 3.16-3.42, 4 Tl 3.37-3.45
Bi2 0.3796 0.7653 0.7593  3 In 3.16-3.42, 4 Tl 3.37-3.45

Properties
- Calculated formation energy: 0.03 eV/atom
- Magnetic moment: 0.000 Bohr magnetons per cell
- Total energy: -30.18 eV for the cell shown
- Space-group type: C2/m, No. 12


[4]
Here is crystalline K3ZrPb2Se6 at its relaxed geometry from the Alexandria database. Energies are from PBE.

a = 7.4167 Å, b = 7.4167 Å, c = 8.0217 Å
α = 98.92°, β = 98.92°, γ = 120.00°
Closest atoms and distances in Å follow each position.
Fractional positions:
K1 0.1741 0.8259 0.5000  6 Se 3.27-3.44
K2 0.8259 0.1741 0.5000  6 Se 3.27-3.44
K3 0.5000 0.5000 0.5000  6 Se 3.26-3.51
Zr1 0.0000 0.0000 0.0000  6 Se 2.74
Pb1 0.3345 0.6655 0.0000  6 Se 3.03-3.04
Pb2 0.6655 0.3345 0.0000  6 Se 3.03-3.04
Se1 0.9315 0.6278 0.7943  1 Zr 2.74, 2 Pb 3.03-3.04
Se2 0.7673 0.7673 0.2071  1 Zr 2.74, 2 Pb 3.03
Se3 0.0685 0.3722 0.2057  1 Zr 2.74, 2 Pb 3.03-3.04
Se4 0.6278 0.9315 0.7943  1 Zr 2.74, 2 Pb 3.03-3.04
Se5 0.2327 0.2327 0.7929  1 Zr 2.74, 2 Pb 3.03
Se6 0.3722 0.0685 0.2057  1 Zr 2.74, 2 Pb 3.03-3.04

Properties
- Magnetic moment: 0.000 Bohr magnetons per cell
- Total energy: -52.40 eV for the cell shown
- Space-group type: C2/m, No. 12
- Uncorrected formation energy: -1.02 eV per atom


[5]
Here is crystalline Mn2Pd at its relaxed geometry from the Alexandria database. Energies are from PBE.

a = 4.7516 Å, b = 4.7516 Å, c = 4.7516 Å
α = 60.00°, β = 60.00°, γ = 60.00°
Closest atoms and distances in Å follow each position.
Fractional positions:
Mn1 0.1250 0.6250 0.6250  6 Mn 2.38
Mn2 0.6250 0.1250 0.6250  6 Mn 2.38
Mn3 0.6250 0.6250 0.6250  6 Mn 2.38
Mn4 0.6250 0.6250 0.1250  6 Mn 2.38
Pd1 0.0000 0.0000 0.0000  12 Mn 2.79, 4 Pd 2.91
Pd2 0.2500 0.2500 0.2500  12 Mn 2.79, 4 Pd 2.91

Properties
- Calculated formation energy: 0.16 eV/atom
- Magnetic moment: 5.601 Bohr magnetons per cell
- Total energy: -46.12 eV for the cell shown
- Space-group type: Fd-3m, No. 227


[6]
Here is crystalline Tb9NdEr2 at its relaxed geometry from the Alexandria database. Energies are from PBE.

a = 3.5134 Å, b = 11.2596 Å, c = 11.2596 Å
α = 120.00°, β = 90.00°, γ = 90.00°
Closest atoms and distances in Å follow each position.
Fractional positions:
Tb1 0.0000 0.0000 0.5000  2 Er 3.25, 10 Tb 3.51-3.60
Tb2 0.0000 0.5000 0.5000  2 Er 3.25, 10 Tb 3.51-3.60
Tb3 0.0000 0.5000 0.0000  2 Er 3.25, 10 Tb 3.51-3.60
Tb4 0.5000 0.3559 0.1779  8 Tb 3.47-3.60, 2 Er 3.50
Tb5 0.5000 0.1779 0.8221  8 Tb 3.47-3.60, 2 Er 3.50
Tb6 0.5000 0.1779 0.3559  8 Tb 3.47-3.60, 2 Er 3.50
Tb7 0.5000 0.8221 0.6441  8 Tb 3.47-3.60, 2 Er 3.50
Tb8 0.5000 0.8221 0.1779  8 Tb 3.47-3.60, 2 Er 3.50
Tb9 0.5000 0.6441 0.8221  8 Tb 3.47-3.60, 2 Er 3.50
Nd1 0.0000 0.0000 0.0000  2 Nd 3.51, 12 Tb 3.89
Er1 0.0000 0.3333 0.6667  9 Tb 3.25-3.50, 2 Er 3.51
Er2 0.0000 0.6667 0.3333  9 Tb 3.25-3.50, 2 Er 3.51

Properties
- Calculated formation energy: 0.04 eV/atom
- Magnetic moment: 0.000 Bohr magnetons per cell
- Total energy: -55.13 eV for the cell shown
- Space-group type: P6/mmm, No. 191
- Energy above the most stable polymorph in this dataset: 15.5 meV per atom


[7]
Here is crystalline Pm2SmThBi4 at its relaxed geometry from the Alexandria database. Energies are from PBE.

a = 4.5862 Å, b = 7.9230 Å, c = 7.9267 Å
α = 109.49°, β = 90.00°, γ = 90.00°
Closest atoms and distances in Å follow each position.
Fractional positions:
Pm1 0.5000 0.0000 0.5000  6 Bi 3.23-3.24
Pm2 0.0000 0.5000 0.5000  6 Bi 3.24
Sm1 0.0000 0.0000 0.0000  6 Bi 3.23
Th1 0.5000 0.5000 0.0000  6 Bi 3.24
Bi1 0.5000 0.2490 0.2491  2 Sm 3.23, 3 Pm 3.24, 1 Th 3.24
Bi2 0.5000 0.7510 0.7509  2 Sm 3.23, 3 Pm 3.24, 1 Th 3.24
Bi3 0.0000 0.2487 0.7496  1 Sm 3.23, 3 Pm 3.23-3.24, 2 Th 3.24
Bi4 0.0000 0.7513 0.2504  1 Sm 3.23, 3 Pm 3.23-3.24, 2 Th 3.24

Properties
- Calculated formation energy: -0.86 eV/atom
- Magnetic moment: 0.000 Bohr magnetons per cell
- Total energy: -44.05 eV for the cell shown
- Space-group type: P2/m, No. 10


[8]
Here is crystalline Sm6DyTl2 at its relaxed geometry from the Alexandria database. Energies are from PBE.

a = 3.8055 Å, b = 6.8036 Å, c = 11.9591 Å
α = 74.46°, β = 80.85°, γ = 73.76°
Closest atoms and distances in Å follow each position.
Fractional positions:
Sm1 0.6847 0.5066 0.1239  2 Tl 3.35, 5 Sm 3.51-3.62, 2 Dy 3.73
Sm2 0.3153 0.4934 0.8761  2 Tl 3.35, 5 Sm 3.51-3.62, 2 Dy 3.73
Sm3 0.3072 0.7970 0.5885  2 Tl 3.40, 8 Sm 3.51-3.68
Sm4 0.9859 0.6847 0.3435  2 Tl 3.30, 7 Sm 3.60-3.68
Sm5 0.0141 0.3153 0.6565  2 Tl 3.30, 7 Sm 3.60-3.68
Sm6 0.6928 0.2030 0.4115  2 Tl 3.40, 8 Sm 3.51-3.68
Dy1 0.0000 0.0000 0.0000  4 Tl 3.16
Tl1 0.3631 0.0734 0.2004  2 Dy 3.16, 6 Sm 3.30-3.40
Tl2 0.6369 0.9266 0.7996  2 Dy 3.16, 6 Sm 3.30-3.40

Properties
- Calculated formation energy: -0.15 eV/atom
- Magnetic moment: 0.000 Bohr magnetons per cell
- Total energy: -38.99 eV for the cell shown
- Space-group type: C2/m, No. 12


[9]
Here is crystalline SiMoS3 at its relaxed geometry from the Alexandria database. Energies are from PBE.

a = 4.6829 Å, b = 4.6829 Å, c = 4.6829 Å
α = 90.00°, β = 90.00°, γ = 90.00°
Closest atoms and distances in Å follow each position.
Fractional positions:
Mo1 0.0000 0.0000 0.0000  6 S 2.34
Si1 0.5000 0.5000 0.5000  12 S 3.31
S1 0.0000 0.5000 0.0000  2 Mo 2.34
S2 0.0000 0.0000 0.5000  2 Mo 2.34
S3 0.5000 0.0000 0.0000  2 Mo 2.34

Properties
- Magnetic moment: 0.231 Bohr magnetons per cell
- Total energy: -26.77 eV for the cell shown
- Space-group type: Pm-3m, No. 221
- Uncorrected formation energy: 0.37 eV per atom
- Energy above the most stable polymorph in this dataset: 0.0 meV per atom


[10]
Here is crystalline Dy2YErBi5 at its relaxed geometry from the Alexandria database. Energies are from PBE.

a = 5.3810 Å, b = 5.3810 Å, c = 11.8621 Å
α = 90.00°, β = 90.00°, γ = 90.00°
Closest atoms and distances in Å follow each position.
Fractional positions:
Dy1 0.5000 0.5000 0.2673  1 Bi 3.17
Dy2 0.5000 0.5000 0.7327  1 Bi 3.17
Y1 0.0000 0.0000 0.0000  2 Bi 2.92
Er1 0.0000 0.0000 0.5000  6 Bi 2.69-3.01
Bi1 0.0000 0.5000 0.5000  2 Er 2.69
Bi2 0.5000 0.0000 0.5000  2 Er 2.69
Bi3 0.0000 0.0000 0.7535  1 Y 2.92, 1 Er 3.01
Bi4 0.0000 0.0000 0.2465  1 Y 2.92, 1 Er 3.01
Bi5 0.5000 0.5000 0.0000  2 Dy 3.17

Properties
- Calculated formation energy: 0.00 eV/atom
- Magnetic moment: 0.000 Bohr magnetons per cell
- Total energy: -39.59 eV for the cell shown
- Space-group type: P4/mmm, No. 123